Material: NbPbWO6
Method: DFT, PBE+U
State: relaxed

## Properties
E: -137.09 eV per cell
total magnetic moment: 2.0 μB/cell

```
data_NbPbWO6
_chemical_formula_sum 'Nb2 Pb2 W2 O12'
_cell_length_a 5.053
_cell_length_b 5.053
_cell_length_c 9.909
_cell_angle_alpha 90.00
_cell_angle_beta 90.00
_cell_angle_gamma 90.00
_space_group_name_H-M_alt 'P 42 n m'
_space_group_IT_number 102
loop_
_space_group_symop_operation_xyz
'x,y,z'
'-y+1/2,x+1/2,z+1/2'
'-x,-y,z'
'y+1/2,-x+1/2,z+1/2'
'-x+1/2,y+1/2,z+1/2'
'y,x,z'
'x+1/2,-y+1/2,z+1/2'
'-y,-x,z'
loop_
_atom_site_label
_atom_site_type_symbol
_atom_site_fract_x
_atom_site_fract_y
_atom_site_fract_z
Nb1 Nb 0.000 0.000 0.000
Pb1 Pb 0.000 0.000 0.662
W1 W 0.000 0.000 0.331
O1 O 0.167 0.167 0.167
O2 O 0.229 0.229 0.468
O3 O 0.233 0.233 0.867
```